1.
10
Lattice="5.0281 2.9030 3.9773 -5.0281 2.9030 3.9773 0.0000 -5.8059 3.9773" Properties=species:S:1:pos:R:3 comment="Pm6PrSm3 | Alexandria | PBE | optimized geometry" dos_ef_per_ev_atom=1.994 delta_e_f_ev_per_atom=0.240 magmom_total_mub_per_fu=0.000 pbc="T T T"
Pm -1.6420 -2.9585 3.9773
Pm -3.2751 -0.0013 5.9666
Pm -1.7411 2.9013 3.9773
Pm 1.6387 -2.8356 5.9666
Pm 3.3832 0.0572 3.9773
Pm 1.6364 2.8370 5.9666
Pr 0.0000 0.0000 11.9261
Sm 0.0000 0.0000 3.0013
Sm 0.0000 0.0000 5.9599
Sm 0.0000 0.0000 8.9158

2.
10
Lattice="5.7849 0.0000 0.0000 -2.8924 5.0099 0.0000 0.0000 0.0000 12.2439" Properties=species:S:1:pos:R:3 comment="PmPr2Sm2 | Alexandria | PBE | optimized geometry" dos_ef_per_ev_atom=1.912 delta_e_f_ev_per_atom=0.211 magmom_total_mub_per_fu=0.000 pbc="T T T"
Pm 0.0000 0.0000 3.0610
Pm 0.0000 0.0000 9.1829
Pr 0.0000 3.3399 1.2458
Pr 0.0000 3.3399 4.8761
Pr 2.8924 1.6699 7.3678
Pr 2.8924 1.6699 10.9981
Sm 0.0000 0.0000 0.0000
Sm 0.0000 0.0000 6.1220
Sm 0.0000 3.3399 9.1829
Sm 2.8924 1.6699 3.0610

3.
13
Lattice="6.6558 -5.9342 0.0000 6.6558 5.9342 0.0000 -2.4798 0.0000 5.7292" Properties=species:S:1:pos:R:3 comment="Pm2Pr3Sm8 | Alexandria | PBE | optimized geometry" dos_ef_per_ev_atom=1.603 delta_e_f_ev_per_atom=0.151 magmom_total_mub_per_fu=0.000 pbc="T T T"
Pm 1.9179 0.0000 2.0154
Pm 8.9140 0.0000 3.7139
Pr 6.6558 2.8517 0.0000
Pr 5.4159 0.0000 2.8646
Pr 6.6558 -2.8517 0.0000
Sm -1.1836 0.0000 4.4667
Sm 3.5390 3.0415 1.8471
Sm 2.2023 0.0000 5.4410
Sm 7.2929 3.0415 3.8822
Sm 3.5390 -3.0415 1.8471
Sm 8.6296 0.0000 0.2882
Sm 7.2929 -3.0415 3.8822
Sm 12.0154 0.0000 1.2626

4.
11
Lattice="6.4146 -5.6964 0.0000 6.4146 5.6964 0.0000 -2.7719 0.0000 5.2843" Properties=species:S:1:pos:R:3 comment="Pm3PrSm7 | Alexandria | PBE | optimized geometry" dos_ef_per_ev_atom=1.530 delta_e_f_ev_per_atom=0.225 magmom_total_mub_per_fu=0.005 pbc="T T T"
Pm 0.0000 0.0000 0.0000
Pm 5.0287 3.3290 2.6421
Pm 5.0287 -3.3290 2.6421
Pr 6.4146 0.0000 0.0000
Sm 2.0557 2.2628 1.0785
Sm 0.6934 0.0000 3.7263
Sm 2.0557 -2.2628 1.0785
Sm 5.0287 0.0000 2.6421
Sm 8.0016 2.2628 4.2057
Sm 9.3639 0.0000 1.5580
Sm 8.0016 -2.2628 4.2057

What did the first record say?
10
Lattice="5.0281 2.9030 3.9773 -5.0281 2.9030 3.9773 0.0000 -5.8059 3.9773" Properties=species:S:1:pos:R:3 comment="Pm6PrSm3 | Alexandria | PBE | optimized geometry" dos_ef_per_ev_atom=1.994 delta_e_f_ev_per_atom=0.240 magmom_total_mub_per_fu=0.000 pbc="T T T"
Pm -1.6420 -2.9585 3.9773
Pm -3.2751 -0.0013 5.9666
Pm -1.7411 2.9013 3.9773
Pm 1.6387 -2.8356 5.9666
Pm 3.3832 0.0572 3.9773
Pm 1.6364 2.8370 5.9666
Pr 0.0000 0.0000 11.9261
Sm 0.0000 0.0000 3.0013
Sm 0.0000 0.0000 5.9599
Sm 0.0000 0.0000 8.9158